# 1
Computed, not measured: an optimized crystal structure of CsTl2BiPb at the PBE-GGA level of DFT.

a b c (Å): 4.770 5.706 14.651
angles (deg): 90.00 90.00 90.00
Space group Imm2 (No. 44)
Symmetry-distinct sites (fractional):
Cs1 0.000 0.000 0.000 [2 per cell]
Tl1 0.000 0.000 0.618 [2 per cell]
Tl2 0.000 0.500 0.270 [2 per cell]
Bi1 0.000 0.000 0.384 [2 per cell]
Pb1 0.000 0.500 0.741 [2 per cell]

Results
Calculated density in g cm⁻³: 7.98
Size of the total moment in μB per atom: 0.000
Energy of formation in eV per formula unit: -0.7

=====

# 2
Computed, not measured: an optimized crystal structure of Tb4EuDy at the PBE-GGA level of DFT.

a b c (Å): 9.447 9.447 9.447
angles (deg): 90.00 90.00 90.00
Space group F-43m (No. 216)
Symmetry-distinct sites (fractional):
Tb1 0.123 0.123 0.123 [16 per cell]
Eu1 0.000 0.000 0.500 [4 per cell]
Dy1 0.250 0.250 0.750 [4 per cell]

Results
Calculated density in g cm⁻³: 7.49
Size of the total moment in μB per atom: 1.219
Energy of formation in eV per formula unit: 1.5

=====

# 3
Computed, not measured: an optimized crystal structure of LiHfTcPt2 at the PBE-GGA level of DFT.

a b c (Å): 4.200 4.200 4.319
angles (deg): 90.00 90.00 90.00
Space group P4/mmm (No. 123)
Symmetry-distinct sites (fractional):
Li1 0.000 0.000 0.000 [1 per cell]
Hf1 0.500 0.500 0.500 [1 per cell]
Tc1 0.000 0.000 0.500 [1 per cell]
Pt1 0.000 0.500 0.000 [2 per cell]

Results
Distance to the lowest polymorph of the same formula in meV per atom: 0
Calculated density in g cm⁻³: 14.68
Size of the total moment in μB per atom: 0.000
Energy of formation in eV per formula unit: 0.0

=====

# 4
Computed, not measured: an optimized crystal structure of LiZrBeRh2 at the PBE-GGA level of DFT.

a b c (Å): 4.245 4.245 3.989
angles (deg): 90.00 90.00 90.00
Space group P4/mmm (No. 123)
Symmetry-distinct sites (fractional):
Li1 0.000 0.000 0.000 [1 per cell]
Zr1 0.500 0.500 0.000 [1 per cell]
Be1 0.000 0.000 0.500 [1 per cell]
Rh1 0.000 0.500 0.500 [2 per cell]

Results
Calculated density in g cm⁻³: 7.23
Size of the total moment in μB per atom: 0.000
Energy of formation in eV per formula unit: -1.8

=====

# 5
Computed, not measured: an optimized crystal structure of MgZrSb3 at the PBE-GGA level of DFT.

a b c (Å): 5.541 5.541 5.541
angles (deg): 90.00 90.00 90.00
Space group Pm-3m (No. 221)
Symmetry-distinct sites (fractional):
Mg1 0.000 0.000 0.000 [1 per cell]
Zr1 0.500 0.500 0.500 [1 per cell]
Sb1 0.000 0.500 0.500 [3 per cell]

Results
Formation energy (no corrections) in eV/atom: 0.219
Distance to the lowest polymorph of the same formula in meV per atom: 0
Calculated density in g cm⁻³: 4.69
Size of the total moment in μB per atom: 0.000

=====

# 6
Computed, not measured: an optimized crystal structure of TbPuZnTc at the PBE-GGA level of DFT.

a b c (Å): 6.956 6.956 6.956
angles (deg): 90.00 90.00 90.00
Space group F-43m (No. 216)
Symmetry-distinct sites (fractional):
Tb1 0.000 0.000 0.000 [4 per cell]
Pu1 0.000 0.000 0.500 [4 per cell]
Zn1 0.250 0.250 0.750 [4 per cell]
Tc1 0.250 0.250 0.250 [4 per cell]

Results
Calculated density in g cm⁻³: 11.18
Size of the total moment in μB per atom: 1.289
Energy of formation in eV per formula unit: 0.0

=====

# 7
Computed, not measured: an optimized crystal structure of Tl2HgPd8 at the PBE-GGA level of DFT.

a b c (Å): 4.078 8.044 12.050
angles (deg): 90.00 90.00 90.00
Space group Immm (No. 71)
Symmetry-distinct sites (fractional):
Tl1 0.000 0.000 0.157 [4 per cell]
Hg1 0.000 0.000 0.500 [2 per cell]
Pd1 0.000 0.251 0.333 [8 per cell]
Pd2 0.000 0.254 0.000 [4 per cell]
Pd3 0.000 0.500 0.169 [4 per cell]

Results
Distance to the lowest polymorph of the same formula in meV per atom: 18
Calculated density in g cm⁻³: 12.27
Size of the total moment in μB per atom: 0.000
Energy of formation in eV per formula unit: -1.5

=====

# 8
Computed, not measured: an optimized crystal structure of AlRhAu at the PBE-GGA level of DFT.

a b c (Å): 3.024 3.024 10.040
angles (deg): 90.00 90.00 90.00
Space group I4mm (No. 107)
Symmetry-distinct sites (fractional):
Al1 0.000 0.000 0.000 [2 per cell]
Rh1 0.000 0.000 0.370 [2 per cell]
Au1 0.000 0.000 0.671 [2 per cell]

Results
Distance to the lowest polymorph of the same formula in meV per atom: 0
Calculated density in g cm⁻³: 11.82
Size of the total moment in μB per atom: 0.000
Energy of formation in eV per formula unit: -1.6

=====

# 9
Computed, not measured: an optimized crystal structure of P2PtAuCl at the PBE-GGA level of DFT.

a b c (Å): 4.673 4.673 4.960
angles (deg): 90.00 90.00 90.00
Space group P4/mmm (No. 123)
Symmetry-distinct sites (fractional):
P1 0.000 0.500 0.000 [2 per cell]
Pt1 0.000 0.000 0.000 [1 per cell]
Au1 0.500 0.500 0.500 [1 per cell]
Cl1 0.000 0.000 0.500 [1 per cell]

Results
Formation energy (no corrections) in eV/atom: 0.694
Distance to the lowest polymorph of the same formula in meV per atom: 0
Calculated density in g cm⁻³: 7.51
Size of the total moment in μB per atom: 0.152

=====

# 10
Computed, not measured: an optimized crystal structure of AgSb2Se2 at the PBE-GGA level of DFT.

a b c (Å): 8.206 8.206 4.020
angles (deg): 90.00 90.00 90.00
Space group P4/mbm (No. 127)
Symmetry-distinct sites (fractional):
Ag1 0.000 0.000 0.000 [2 per cell]
Sb1 0.204 0.296 0.000 [4 per cell]
Se1 0.143 0.643 0.500 [4 per cell]

Results
Formation energy (no corrections) in eV/atom: 0.049
Distance to the lowest polymorph of the same formula in meV per atom: 0
Calculated density in g cm⁻³: 6.25
Size of the total moment in μB per atom: 0.000

=====

# 11
Computed, not measured: an optimized crystal structure of Mn2BeCoH at the PBE-GGA level of DFT.

a b c (Å): 3.607 3.607 3.450
angles (deg): 90.00 90.00 90.00
Space group P4/mmm (No. 123)
Symmetry-distinct sites (fractional):
Mn1 0.000 0.500 0.000 [2 per cell]
Be1 0.000 0.000 0.500 [1 per cell]
Co1 0.500 0.500 0.500 [1 per cell]
H1 0.500 0.500 0.000 [1 per cell]

Results
Distance to the lowest polymorph of the same formula in meV per atom: 0
Calculated density in g cm⁻³: 6.62
Size of the total moment in μB per atom: 0.978

=====

# 12
Computed, not measured: an optimized crystal structure of TiAlCo4 at the PBE-GGA level of DFT.

a b c (Å): 6.625 6.625 6.625
angles (deg): 90.00 90.00 90.00
Space group F-43m (No. 216)
Symmetry-distinct sites (fractional):
Ti1 0.000 0.000 0.000 [4 per cell]
Al1 0.250 0.250 0.750 [4 per cell]
Co1 0.124 0.124 0.376 [16 per cell]

Results
Calculated density in g cm⁻³: 7.09
Size of the total moment in μB per atom: 0.489
Energy of formation in eV per formula unit: -1.8

=====

- The highest calculated density belongs to which entry?
  LiHfTcPt2

=====

- Number 1 is which compound?
  CsTl2BiPb

=====

- Which value of calculated density does entry 1 give?
  7.98 g cm⁻³